Record 1
The following is a DFT calculation (PBE) of a relaxed TlNiMoPd crystal.

Computed properties:
Symmetry: F-43m (216)
Total energy: -5.60 eV per atom
Mass density: 12.0 g cm⁻³

CIF file:
```
data_TlNiMoPd
_cell_length_a 4.496
_cell_length_b 4.496
_cell_length_c 4.496
_cell_angle_alpha 60.00
_cell_angle_beta 60.00
_cell_angle_gamma 60.00
_symmetry_space_group_name_H-M 'P 1'
_symmetry_Int_Tables_number 1
loop_
_symmetry_equiv_pos_as_xyz
'x,y,z'
loop_
_atom_site_label
_atom_site_type_symbol
_atom_site_fract_x
_atom_site_fract_y
_atom_site_fract_z
Tl1 Tl 0.000 0.000 0.000
Ni1 Ni 0.250 0.250 0.250
Mo1 Mo 0.500 0.500 0.500
Pd1 Pd 0.750 0.750 0.750
```

***

Record 2
The following is a DFT calculation (PBE) of a relaxed YInFeHg crystal.

Computed properties:
Symmetry: F-43m (216)
Total energy: -4.45 eV per atom
Mass density: 9.4 g cm⁻³

CIF file:
```
data_YInFeHg
_cell_length_a 4.864
_cell_length_b 4.864
_cell_length_c 4.864
_cell_angle_alpha 60.00
_cell_angle_beta 60.00
_cell_angle_gamma 60.00
_symmetry_space_group_name_H-M 'P 1'
_symmetry_Int_Tables_number 1
loop_
_symmetry_equiv_pos_as_xyz
'x,y,z'
loop_
_atom_site_label
_atom_site_type_symbol
_atom_site_fract_x
_atom_site_fract_y
_atom_site_fract_z
Y1 Y 0.000 0.000 0.000
In1 In 0.250 0.250 0.250
Fe1 Fe 0.500 0.500 0.500
Hg1 Hg 0.750 0.750 0.750
```

***

Record 3
The following is a DFT calculation (PBE) of a relaxed ScSiPd2 crystal.

Computed properties:
Symmetry: P6_3/mmc (194)
Total energy: -6.20 eV per atom
Mass density: 7.1 g cm⁻³

CIF file:
```
data_ScSiPd2
_cell_length_a 4.549
_cell_length_b 4.549
_cell_length_c 7.503
_cell_angle_alpha 90.00
_cell_angle_beta 90.00
_cell_angle_gamma 120.00
_symmetry_space_group_name_H-M 'P 1'
_symmetry_Int_Tables_number 1
loop_
_symmetry_equiv_pos_as_xyz
'x,y,z'
loop_
_atom_site_label
_atom_site_type_symbol
_atom_site_fract_x
_atom_site_fract_y
_atom_site_fract_z
Sc1 Sc 0.000 0.000 0.000
Sc2 Sc 0.000 0.000 0.500
Si1 Si 0.333 0.667 0.250
Si2 Si 0.667 0.333 0.750
Pd1 Pd 0.333 0.667 0.576
Pd2 Pd 0.333 0.667 0.924
Pd3 Pd 0.667 0.333 0.076
Pd4 Pd 0.667 0.333 0.424
```

***

Record 4
The following is a DFT calculation (PBE) of a relaxed Nb4ZnBiC2 crystal.

Computed properties:
Symmetry: P-6m2 (187)
Total energy: -8.26 eV per atom
Mass density: 8.8 g cm⁻³

CIF file:
```
data_Nb4ZnBiC2
_cell_length_a 3.269
_cell_length_b 3.269
_cell_length_c 13.742
_cell_angle_alpha 90.00
_cell_angle_beta 90.00
_cell_angle_gamma 120.00
_symmetry_space_group_name_H-M 'P 1'
_symmetry_Int_Tables_number 1
loop_
_symmetry_equiv_pos_as_xyz
'x,y,z'
loop_
_atom_site_label
_atom_site_type_symbol
_atom_site_fract_x
_atom_site_fract_y
_atom_site_fract_z
Nb1 Nb 0.000 0.000 0.159
Nb2 Nb 0.000 0.000 0.841
Nb3 Nb 0.333 0.667 0.327
Nb4 Nb 0.333 0.667 0.673
Zn1 Zn 0.333 0.667 0.000
Bi1 Bi 0.000 0.000 0.500
C1 C 0.667 0.333 0.242
C2 C 0.667 0.333 0.758
```

***

Record 5
The following is a DFT calculation (PBE) of a relaxed LuBeSnIr crystal.

Computed properties:
Symmetry: F-43m (216)
Total energy: -5.51 eV per atom
Mass density: 12.0 g cm⁻³

CIF file:
```
data_LuBeSnIr
_cell_length_a 4.592
_cell_length_b 4.592
_cell_length_c 4.592
_cell_angle_alpha 60.00
_cell_angle_beta 60.00
_cell_angle_gamma 60.00
_symmetry_space_group_name_H-M 'P 1'
_symmetry_Int_Tables_number 1
loop_
_symmetry_equiv_pos_as_xyz
'x,y,z'
loop_
_atom_site_label
_atom_site_type_symbol
_atom_site_fract_x
_atom_site_fract_y
_atom_site_fract_z
Lu1 Lu 0.000 0.000 0.000
Be1 Be 0.750 0.750 0.750
Sn1 Sn 0.250 0.250 0.250
Ir1 Ir 0.500 0.500 0.500
```

***

Record 6
The following is a DFT calculation (PBE) of a relaxed GdAsW crystal.

Computed properties:
Symmetry: F-43m (216)
Total energy: -7.20 eV per atom
Mass density: 10.6 g cm⁻³

CIF file:
```
data_GdAsW
_cell_length_a 4.518
_cell_length_b 4.518
_cell_length_c 4.518
_cell_angle_alpha 60.00
_cell_angle_beta 60.00
_cell_angle_gamma 60.00
_symmetry_space_group_name_H-M 'P 1'
_symmetry_Int_Tables_number 1
loop_
_symmetry_equiv_pos_as_xyz
'x,y,z'
loop_
_atom_site_label
_atom_site_type_symbol
_atom_site_fract_x
_atom_site_fract_y
_atom_site_fract_z
Gd1 Gd 0.000 0.000 0.000
As1 As 0.250 0.250 0.250
W1 W 0.500 0.500 0.500
```

***

Record 7
The following is a DFT calculation (PBE) of a relaxed ZrH5S3O14 crystal.

Computed properties:
Symmetry: P-1 (2)
Total energy: -6.03 eV per atom
Mass density: 2.8 g cm⁻³

CIF file:
```
data_ZrH5S3O14
_cell_length_a 4.942
_cell_length_b 8.197
_cell_length_c 12.069
_cell_angle_alpha 90.62
_cell_angle_beta 91.23
_cell_angle_gamma 94.01
_symmetry_space_group_name_H-M 'P 1'
_symmetry_Int_Tables_number 1
loop_
_symmetry_equiv_pos_as_xyz
'x,y,z'
loop_
_atom_site_label
_atom_site_type_symbol
_atom_site_fract_x
_atom_site_fract_y
_atom_site_fract_z
Zr1 Zr 0.218 0.110 0.184
Zr2 Zr 0.782 0.890 0.816
H1 H 0.117 0.407 0.800
H2 H 0.234 0.846 0.515
H3 H 0.270 0.464 0.915
H4 H 0.339 0.729 0.415
H5 H 0.363 0.666 0.542
H6 H 0.637 0.334 0.458
H7 H 0.661 0.271 0.585
H8 H 0.730 0.536 0.085
H9 H 0.766 0.154 0.485
H10 H 0.883 0.593 0.200
S1 S 0.243 0.405 0.308
S2 S 0.288 0.076 0.667
S3 S 0.300 0.784 0.004
S4 S 0.700 0.216 0.996
S5 S 0.712 0.924 0.333
S6 S 0.757 0.595 0.692
O1 O 0.022 0.073 0.723
O2 O 0.068 0.539 0.298
O3 O 0.077 0.243 0.326
O4 O 0.118 0.837 0.912
O5 O 0.224 0.367 0.866
O6 O 0.243 0.728 0.488
O7 O 0.243 0.873 0.106
O8 O 0.250 0.033 0.549
O9 O 0.259 0.609 0.020
O10 O 0.374 0.364 0.199
O11 O 0.419 0.166 0.030
O12 O 0.432 0.237 0.682
O13 O 0.445 0.945 0.722
O14 O 0.448 0.436 0.396
O15 O 0.552 0.564 0.604
O16 O 0.555 0.055 0.278
O17 O 0.568 0.763 0.318
O18 O 0.581 0.834 0.970
O19 O 0.626 0.636 0.801
O20 O 0.741 0.391 0.980
O21 O 0.750 0.967 0.451
O22 O 0.757 0.127 0.894
O23 O 0.757 0.272 0.512
O24 O 0.776 0.633 0.134
O25 O 0.882 0.163 0.088
O26 O 0.923 0.757 0.674
O27 O 0.932 0.461 0.702
O28 O 0.978 0.927 0.277
```

***

Record 8
The following is a DFT calculation (PBE) of a relaxed ScW2N crystal.

Computed properties:
Symmetry: I4/mmm (139)
Total energy: -10.03 eV per atom
Mass density: 12.8 g cm⁻³

CIF file:
```
data_ScW2N
_cell_length_a 7.838
_cell_length_b 7.838
_cell_length_c 7.838
_cell_angle_alpha 151.35
_cell_angle_beta 151.35
_cell_angle_gamma 40.97
_symmetry_space_group_name_H-M 'P 1'
_symmetry_Int_Tables_number 1
loop_
_symmetry_equiv_pos_as_xyz
'x,y,z'
loop_
_atom_site_label
_atom_site_type_symbol
_atom_site_fract_x
_atom_site_fract_y
_atom_site_fract_z
Sc1 Sc 0.169 0.169 0.000
Sc2 Sc 0.831 0.831 0.000
W1 W 0.000 0.500 0.500
W2 W 0.355 0.355 0.000
W3 W 0.500 0.000 0.500
W4 W 0.645 0.645 0.000
N1 N 0.250 0.750 0.500
N2 N 0.750 0.250 0.500
```

***

Record 9
The following is a DFT calculation (PBE) of a relaxed BiAuNO crystal.

Computed properties:
Symmetry: Pca2_1 (29)
Total energy: -4.90 eV per atom
Mass density: 10.5 g cm⁻³

CIF file:
```
data_BiAuNO
_cell_length_a 6.077
_cell_length_b 7.654
_cell_length_c 5.956
_cell_angle_alpha 90.00
_cell_angle_beta 90.00
_cell_angle_gamma 90.00
_symmetry_space_group_name_H-M 'P 1'
_symmetry_Int_Tables_number 1
loop_
_symmetry_equiv_pos_as_xyz
'x,y,z'
loop_
_atom_site_label
_atom_site_type_symbol
_atom_site_fract_x
_atom_site_fract_y
_atom_site_fract_z
Bi1 Bi 0.067 0.165 0.000
Bi2 Bi 0.433 0.165 0.500
Bi3 Bi 0.567 0.835 0.000
Bi4 Bi 0.933 0.835 0.500
Au1 Au 0.188 0.590 0.077
Au2 Au 0.312 0.590 0.577
Au3 Au 0.688 0.410 0.077
Au4 Au 0.812 0.410 0.577
N1 N 0.028 0.617 0.779
N2 N 0.472 0.617 0.279
N3 N 0.528 0.383 0.779
N4 N 0.972 0.383 0.279
O1 O 0.153 0.022 0.654
O2 O 0.347 0.022 0.154
O3 O 0.653 0.978 0.654
O4 O 0.847 0.978 0.154
```

***

Record 10
The following is a DFT calculation (PBE) of a relaxed NbTlCu2 crystal.

Computed properties:
Symmetry: F-43m (216)
Total energy: -4.50 eV per atom
Mass density: 10.6 g cm⁻³

CIF file:
```
data_NbTlCu2
_cell_length_a 4.543
_cell_length_b 4.543
_cell_length_c 4.543
_cell_angle_alpha 60.00
_cell_angle_beta 60.00
_cell_angle_gamma 60.00
_symmetry_space_group_name_H-M 'P 1'
_symmetry_Int_Tables_number 1
loop_
_symmetry_equiv_pos_as_xyz
'x,y,z'
loop_
_atom_site_label
_atom_site_type_symbol
_atom_site_fract_x
_atom_site_fract_y
_atom_site_fract_z
Nb1 Nb 0.000 0.000 0.000
Tl1 Tl 0.750 0.750 0.750
Cu1 Cu 0.250 0.250 0.250
Cu2 Cu 0.500 0.500 0.500
```

***

Record 11
The following is a DFT calculation (PBE) of a relaxed LaNdNO crystal.

Computed properties:
Symmetry: P4/nmm (129)
Total energy: -7.36 eV per atom
Mass density: 6.4 g cm⁻³

CIF file:
```
data_LaNdNO
_cell_length_a 4.334
_cell_length_b 4.334
_cell_length_c 8.631
_cell_angle_alpha 90.00
_cell_angle_beta 90.00
_cell_angle_gamma 90.00
_symmetry_space_group_name_H-M 'P 1'
_symmetry_Int_Tables_number 1
loop_
_symmetry_equiv_pos_as_xyz
'x,y,z'
loop_
_atom_site_label
_atom_site_type_symbol
_atom_site_fract_x
_atom_site_fract_y
_atom_site_fract_z
La1 La 0.250 0.250 0.121
La2 La 0.750 0.750 0.879
Nd1 Nd 0.250 0.750 0.500
Nd2 Nd 0.750 0.250 0.500
N1 N 0.250 0.250 0.637
N2 N 0.750 0.750 0.363
O1 O 0.250 0.750 0.000
O2 O 0.750 0.250 0.000
```

***

Record 12
The following is a DFT calculation (PBE) of a relaxed Y2Er3Lu2Ni2Te2 crystal.

Computed properties:
Symmetry: Imm2 (44)
Total energy: -5.51 eV per atom
Mass density: 8.2 g cm⁻³

CIF file:
```
data_Y2Er3Lu2Ni2Te2
_cell_length_a 9.278
_cell_length_b 9.278
_cell_length_c 9.278
_cell_angle_alpha 156.16
_cell_angle_beta 67.45
_cell_angle_gamma 117.96
_symmetry_space_group_name_H-M 'P 1'
_symmetry_Int_Tables_number 1
loop_
_symmetry_equiv_pos_as_xyz
'x,y,z'
loop_
_atom_site_label
_atom_site_type_symbol
_atom_site_fract_x
_atom_site_fract_y
_atom_site_fract_z
Y1 Y 0.132 0.000 0.132
Y2 Y 0.868 0.000 0.868
Er1 Er 0.206 0.853 0.353
Er2 Er 0.500 0.853 0.647
Er3 Er 0.581 0.581 0.000
Lu1 Lu 0.516 0.201 0.315
Lu2 Lu 0.887 0.201 0.685
Ni1 Ni 0.277 0.513 0.765
Ni2 Ni 0.748 0.513 0.235
Te1 Te 0.248 0.248 0.000
Te2 Te 0.843 0.343 0.500
```